Ba2PaMn2O6: relaxed, PBE+U.

a = 6.174 Å, b = 6.211 Å, c = 6.962 Å
α = 117.38°, β = 90.00°, γ = 119.81°
Last column: magnetic moment on the atom in μB.
Atoms (fractional coordinates):
O (0.677, 0.874, 0.226)  0.01
O (0.196, 0.874, 0.226)  0.01
O (0.276, 0.551, 0.418)  0.00
O (0.323, 0.126, 0.774)  0.01
O (0.724, 0.449, 0.582)  0.00
O (0.804, 0.126, 0.774)  0.01
Mn (0.943, 0.887, 0.760)  4.30
Mn (0.057, 0.113, 0.240)  4.30
Ba (0.286, 0.572, 0.832)  0.00
Ba (0.714, 0.428, 0.168)  0.00
Pa (0.500, 0.000, 0.500)  0.10

Output
The value obtained for the total magnetization is 9.00 μB per formula unit. The energy comes out at -7.79 eV per atom.